No. 1
# LaNdGeBr2 PBE relaxed
data_LaNdGeBr2
_cell_length_a 4.3681
_cell_length_b 4.3681
_cell_length_c 10.2958
_cell_angle_alpha 90.00
_cell_angle_beta 90.00
_cell_angle_gamma 120.00
_symmetry_space_group_name_H-M 'P 3 m 1'
_symmetry_Int_Tables_number 156
loop_
_symmetry_equiv_pos_as_xyz
'x,y,z'
'-y,x-y,z'
'-x+y,-x,z'
'-y,-x,z'
'-x+y,y,z'
'x,x-y,z'
loop_
_atom_site_label
_atom_site_type_symbol
_atom_site_fract_x
_atom_site_fract_y
_atom_site_fract_z
La1 La 0.0000 0.0000 0.0000
Nd1 Nd 0.3333 0.6667 0.6703
Ge1 Ge 0.6667 0.3333 0.8331
Br1 Br 0.0000 0.0000 0.5006
Br2 Br 0.3333 0.6667 0.1748
# * final energy: -5.02 eV per atom



No. 2
# Nd4GeBr5 PBE relaxed
data_Nd4GeBr5
_cell_length_a 18.782
_cell_length_b 4.202
_cell_length_c 8.702
_cell_angle_alpha 90.00
_cell_angle_beta 103.11
_cell_angle_gamma 90.00
_symmetry_space_group_name_H-M 'C 1 2/m 1'
_symmetry_Int_Tables_number 12
loop_
_symmetry_equiv_pos_as_xyz
'x,y,z'
'-x,-y,-z'
'-x,y,-z'
'x,-y,z'
'x+1/2,y+1/2,z'
'-x+1/2,-y+1/2,-z'
'-x+1/2,y+1/2,-z'
'x+1/2,-y+1/2,z'
loop_
_atom_site_label
_atom_site_type_symbol
_atom_site_fract_x
_atom_site_fract_y
_atom_site_fract_z
Nd1 Nd 0.001 0.000 0.227
Nd2 Nd 0.154 0.500 0.081
Ge1 Ge 0.000 0.500 0.000
Br1 Br 0.000 0.500 0.500
Br2 Br 0.167 0.000 0.330
Br3 Br 0.170 0.000 0.837
# * final energy: -4.74 eV per atom



No. 3
# PrNdGeBr2 PBE relaxed
data_PrNdGeBr2
_cell_length_a 4.3201
_cell_length_b 4.3201
_cell_length_c 10.3152
_cell_angle_alpha 90.00
_cell_angle_beta 90.00
_cell_angle_gamma 120.00
_symmetry_space_group_name_H-M 'P 3 m 1'
_symmetry_Int_Tables_number 156
loop_
_symmetry_equiv_pos_as_xyz
'x,y,z'
'-y,x-y,z'
'-x+y,-x,z'
'-y,-x,z'
'-x+y,y,z'
'x,x-y,z'
loop_
_atom_site_label
_atom_site_type_symbol
_atom_site_fract_x
_atom_site_fract_y
_atom_site_fract_z
Pr1 Pr 0.0000 0.0000 0.0000
Nd1 Nd 0.3333 0.6667 0.6730
Ge1 Ge 0.6667 0.3333 0.8353
Br1 Br 0.0000 0.0000 0.5012
Br2 Br 0.3333 0.6667 0.1745
# * final energy: -4.96 eV per atom



Question: What is the final energy in the first record?
Answer: -5.02 eV per atom



Repeat the first record exactly.
# LaNdGeBr2 PBE relaxed
data_LaNdGeBr2
_cell_length_a 4.3681
_cell_length_b 4.3681
_cell_length_c 10.2958
_cell_angle_alpha 90.00
_cell_angle_beta 90.00
_cell_angle_gamma 120.00
_symmetry_space_group_name_H-M 'P 3 m 1'
_symmetry_Int_Tables_number 156
loop_
_symmetry_equiv_pos_as_xyz
'x,y,z'
'-y,x-y,z'
'-x+y,-x,z'
'-y,-x,z'
'-x+y,y,z'
'x,x-y,z'
loop_
_atom_site_label
_atom_site_type_symbol
_atom_site_fract_x
_atom_site_fract_y
_atom_site_fract_z
La1 La 0.0000 0.0000 0.0000
Nd1 Nd 0.3333 0.6667 0.6703
Ge1 Ge 0.6667 0.3333 0.8331
Br1 Br 0.0000 0.0000 0.5006
Br2 Br 0.3333 0.6667 0.1748
# * final energy: -5.02 eV per atom